Record 1
Cs5RbZn2O5 | PBE-GGA | optimized geometry

Summary:
Calculated density ... 5.0 Mg/m³
Total DFT energy (no corrections) ... -3.692 eV/atom

The structure in extended XYZ format:
```
13
Lattice="3.652 -6.161 0.000 3.652 6.161 0.000 -0.626 0.000 7.158" Properties=species:S:1:pos:R:3 pbc="T T T"
Cs 0.000 0.000 0.000
Cs 2.190 2.940 4.885
Cs 2.539 2.592 1.345
Cs 2.539 -2.592 1.345
Cs 2.190 -2.940 4.885
Rb 5.007 0.000 2.633
Zn 0.909 0.000 3.505
Zn 3.599 0.000 6.101
O 3.753 4.530 2.964
O 2.645 0.000 4.400
O 4.225 1.621 6.883
O 4.225 -1.621 6.883
O 3.753 -4.530 2.964
```

Record 2
Cs4Rb2Zn2O5 | PBE-GGA | optimized geometry

Summary:
Calculated density ... 4.8 Mg/m³
Total DFT energy (no corrections) ... -3.713 eV/atom

The structure in extended XYZ format:
```
13
Lattice="3.650 -6.073 0.000 3.650 6.073 0.000 -0.369 0.000 7.064" Properties=species:S:1:pos:R:3 pbc="T T T"
Cs 0.000 0.000 0.000
Cs 1.939 0.000 4.184
Cs 4.453 2.555 5.694
Cs 4.453 -2.555 5.694
Rb 4.632 2.803 2.139
Rb 4.632 -2.803 2.139
Zn 3.224 0.000 0.811
Zn 6.086 0.000 3.358
O 3.128 4.421 3.994
O 2.474 1.673 0.335
O 2.474 -1.673 0.335
O 4.887 0.000 1.826
O 3.128 -4.421 3.994
```

Record 3
CsReO4 | PBE-GGA | optimized geometry

Summary:
Calculated density ... 5.4 Mg/m³
Spin magnetization ... 0.0 μB per cell
Total DFT energy (no corrections) ... -7.368 eV/atom

The structure in extended XYZ format:
```
24
Lattice="5.684 0.000 0.000 0.000 5.908 0.000 0.000 0.000 14.154" Properties=species:S:1:pos:R:3 pbc="T T T"
Cs 0.144 1.477 1.798
Cs 2.698 4.431 8.875
Cs 2.986 1.477 5.279
Cs 5.541 4.431 12.356
Re 0.218 4.431 5.375
Re 2.624 1.477 12.452
Re 3.060 4.431 1.701
Re 5.466 1.477 8.778
O 0.082 0.045 9.745
O 0.082 2.909 9.745
O 0.853 1.477 7.392
O 0.950 1.477 12.988
O 1.893 4.431 5.911
O 1.989 4.431 0.315
O 2.760 2.998 2.668
O 2.760 5.863 2.668
O 2.924 0.045 11.486
O 2.924 2.909 11.486
O 3.695 1.477 13.838
O 3.792 1.477 8.243
O 4.735 4.431 1.166
O 4.831 4.431 6.762
O 5.602 2.998 4.409
O 5.602 5.863 4.409
```

Record 4
CsScRe2O8 | PBE-GGA | optimized geometry

Summary:
Calculated density ... 5.0 Mg/m³
Spin magnetization ... 0.8 μB per cell
Total DFT energy (no corrections) ... -7.936 eV/atom

The structure in extended XYZ format:
```
12
Lattice="5.834 0.000 0.000 -2.917 5.052 0.000 0.000 0.000 7.714" Properties=species:S:1:pos:R:3 pbc="T T T"
Cs 0.000 0.000 0.000
Sc 0.000 0.000 3.857
Re 0.000 3.368 2.012
Re 2.917 1.684 5.702
O 0.000 1.685 2.638
O -1.458 4.210 2.638
O 1.459 0.842 5.076
O 0.000 3.368 0.246
O 2.917 1.684 7.468
O 1.458 4.210 2.638
O 4.375 0.842 5.076
O 2.917 3.368 5.076
```

Record 5
CsTmRe2O8 | PBE-GGA | optimized geometry

Summary:
Calculated density ... 5.6 Mg/m³
Spin magnetization ... 2.0 μB per cell
Total DFT energy (no corrections) ... -7.819 eV/atom

The structure in extended XYZ format:
```
12
Lattice="5.922 0.000 0.000 -2.961 5.129 0.000 0.000 0.000 7.851" Properties=species:S:1:pos:R:3 pbc="T T T"
Cs 0.000 0.000 0.000
Tm 0.000 0.000 3.925
Re 0.000 3.419 1.959
Re 2.961 1.710 5.892
O 0.000 1.737 2.601
O -1.457 4.260 2.601
O 0.000 3.419 0.193
O 1.504 0.868 5.249
O 1.457 4.260 2.601
O 2.961 1.710 7.657
O 4.418 0.868 5.249
O 2.961 3.392 5.249
```

Record 6
CsTmSO | PBE-GGA | optimized geometry

Summary:
Calculated density ... 5.2 Mg/m³
Spin magnetization ... 0.0 μB per cell
Total DFT energy (no corrections) ... -5.508 eV/atom

The structure in extended XYZ format:
```
8
Lattice="4.608 0.000 0.000 0.000 4.608 0.000 0.000 0.000 10.552" Properties=species:S:1:pos:R:3 pbc="T T T"
Cs 1.152 3.456 0.000
Cs 3.456 1.152 0.000
Tm 1.152 1.152 4.707
Tm 3.456 3.456 5.845
S 1.152 1.152 2.248
S 3.456 3.456 8.304
O 1.152 3.456 5.276
O 3.456 1.152 5.276
```